Run i
TaPdRh: optimized geometry, PBE.

Summary:
- Symmetry: Cmcm (63)

a b c (Å): 4.257 3.314 6.906
angles (deg): 103.88 90.00 90.00
Atoms (fractional coordinates):
Ta 0.250 0.098 0.196
Ta 0.750 0.902 0.804
Pd 0.250 0.760 0.521
Pd 0.750 0.240 0.479
Rh 0.250 0.433 0.867
Rh 0.750 0.567 0.133

=====

Run ii
TaPdRh: optimized geometry, PBE.

Summary:
- Symmetry: I4mm (107)

a b c (Å): 3.307 3.307 4.960
angles (deg): 109.47 109.47 90.00
Atoms (fractional coordinates):
Rh 0.012 0.012 0.024
Pd 0.328 0.328 0.656
Ta 0.660 0.660 0.319

=====

Run iii
TaPdRh: optimized geometry, PBE.

Summary:
- Symmetry: P3m1 (156)

a b c (Å): 2.808 4.426 4.426
angles (deg): 120.00 90.00 90.00
Atoms (fractional coordinates):
Rh 0.729 0.000 0.000
Pd 0.296 0.667 0.333
Ta 0.975 0.333 0.667

=====

Run iv
TaPdRh: optimized geometry, PBE.

Summary:
- Symmetry: Cmcm (63)

a b c (Å): 4.507 5.396 7.821
angles (deg): 90.00 90.00 90.00
Atoms (fractional coordinates):
Ta 0.000 0.500 0.583
Ta 0.000 0.000 0.917
Ta 0.500 0.000 0.417
Ta 0.500 0.500 0.083
Pd 0.500 0.250 0.750
Pd 0.000 0.750 0.250
Pd 0.500 0.750 0.750
Pd 0.000 0.250 0.250
Rh 0.000 0.000 0.584
Rh 0.000 0.500 0.916
Rh 0.500 0.000 0.084
Rh 0.500 0.500 0.416

=====

Relative stability in eV/atom, measured from the most stable structure: run i 0.000; run ii 0.051; run iii 0.179; run iv 0.074

=====

Run i
Ta2PdRh4: optimized geometry, PBE.

Summary:
- Symmetry: I4/mmm (139)

a b c (Å): 4.739 4.739 7.113
angles (deg): 70.54 70.54 90.00
Atoms (fractional coordinates):
Rh 0.206 0.206 0.587
Rh 0.794 0.794 0.413
Rh 0.000 0.500 0.000
Rh 0.500 0.000 0.000
Pd 0.000 0.000 0.000
Ta 0.386 0.386 0.227
Ta 0.614 0.614 0.773

=====

Run ii
Ta2PdRh4: optimized geometry, PBE.

Summary:
- Symmetry: Cmce (64)

a b c (Å): 9.186 5.275 5.376
angles (deg): 119.40 90.00 90.00
Atoms (fractional coordinates):
Ta 0.000 0.665 0.330
Ta 0.000 0.335 0.670
Ta 0.500 0.835 0.670
Ta 0.500 0.165 0.330
Pd 0.000 0.000 0.000
Pd 0.500 0.500 0.000
Rh 0.785 0.589 0.000
Rh 0.750 0.558 0.500
Rh 0.750 0.058 0.500
Rh 0.715 0.089 0.000
Rh 0.285 0.911 0.000
Rh 0.250 0.942 0.500
Rh 0.250 0.442 0.500
Rh 0.215 0.411 0.000

=====

Relative stability in eV/atom, measured from the most stable structure: run i 1.040; run ii 0.000

=====

Run i
Tb5Pd2Rh2: optimized geometry, PBE.

Summary:
- Symmetry: Ima2 (46)

a b c (Å): 6.577 7.350 10.117
angles (deg): 111.30 108.97 90.00
Atoms (fractional coordinates):
Tb 0.253 0.646 0.853
Tb 0.747 0.794 0.147
Tb 0.099 0.146 0.853
Tb 0.901 0.294 0.147
Tb 0.319 0.014 0.310
Tb 0.681 0.704 0.690
Tb 0.491 0.514 0.310
Tb 0.509 0.204 0.690
Tb 0.119 0.746 0.500
Tb 0.881 0.246 0.500
Pd 0.144 0.623 0.141
Pd 0.856 0.482 0.859
Pd 0.497 0.123 0.141
Pd 0.503 0.982 0.859
Rh 0.000 0.924 0.000
Rh 0.500 0.424 0.000
Rh 0.275 0.402 0.500
Rh 0.725 0.902 0.500

=====

Run ii
Tb5Pd2Rh2: optimized geometry, PBE.

Summary:
- Symmetry: Cmce (64)

a b c (Å): 7.544 7.522 8.303
angles (deg): 116.93 90.00 90.00
Atoms (fractional coordinates):
Tb 0.000 0.000 0.000
Tb 0.500 0.500 0.000
Tb 0.832 0.806 0.268
Tb 0.168 0.462 0.268
Tb 0.332 0.962 0.268
Tb 0.668 0.306 0.268
Tb 0.168 0.194 0.732
Tb 0.832 0.538 0.732
Tb 0.668 0.038 0.732
Tb 0.332 0.694 0.732
Pd 0.000 0.206 0.411
Pd 0.500 0.706 0.411
Pd 0.000 0.794 0.589
Pd 0.500 0.294 0.589
Rh 0.633 0.866 0.000
Rh 0.367 0.134 0.000
Rh 0.133 0.634 0.000
Rh 0.867 0.366 0.000

=====

Relative stability in eV/atom, measured from the most stable structure: run i 0.079; run ii 0.000

=====

Run i
Tb7Pd2Rh2: optimized geometry, PBE.

Summary:
- Symmetry: Cmmm (65)

a b c (Å): 6.644 6.944 6.644
angles (deg): 90.02 107.27 89.98
Atoms (fractional coordinates):
Tb 0.000 0.263 0.500
Tb 0.500 0.737 0.000
Tb 0.000 0.737 0.500
Tb 0.500 0.263 0.000
Tb 0.000 0.000 0.000
Tb 0.500 0.742 0.500
Tb 0.500 0.258 0.500
Pd 0.809 0.500 0.809
Pd 0.191 0.500 0.191
Rh 0.712 0.000 0.288
Rh 0.288 0.000 0.712

=====

Run ii
Tb7Pd2Rh2: optimized geometry, PBE.

Summary:
- Symmetry: Imm2 (44)

a b c (Å): 3.861 9.149 9.149
angles (deg): 62.34 77.82 77.82
Atoms (fractional coordinates):
Tb 0.811 0.086 0.291
Tb 0.871 0.387 0.871
Tb 0.500 0.998 0.002
Tb 0.617 0.489 0.277
Tb 0.383 0.723 0.511
Tb 0.189 0.709 0.914
Tb 0.129 0.129 0.613
Pd 0.000 0.769 0.231
Pd 0.500 0.358 0.642
Rh 0.740 0.864 0.657
Rh 0.260 0.343 0.136

=====

Relative stability in eV/atom, measured from the most stable structure: run i 0.166; run ii 0.000

=====

Run i
Tb8Pd2Rh: optimized geometry, PBE.

Summary:
- Symmetry: C2/m (12)

a b c (Å): 5.099 6.750 9.048
angles (deg): 103.96 106.36 90.00
Atoms (fractional coordinates):
Tb 0.411 0.557 0.822
Tb 0.664 0.975 0.329
Tb 0.797 0.677 0.595
Tb 0.968 0.213 0.936
Tb 0.203 0.323 0.405
Tb 0.336 0.025 0.671
Tb 0.589 0.443 0.178
Tb 0.032 0.787 0.064
Pd 0.811 0.271 0.621
Pd 0.189 0.729 0.379
Rh 0.500 0.000 0.000

=====

Run ii
Tb8Pd2Rh: optimized geometry, PBE.

Summary:
- Symmetry: Cm (8)

a b c (Å): 5.987 7.751 7.751
angles (deg): 115.65 100.92 100.92
Atoms (fractional coordinates):
Tb 0.585 0.341 0.091
Tb 0.585 0.091 0.341
Tb 0.168 0.363 0.363
Tb 0.989 0.209 0.796
Tb 0.989 0.796 0.209
Tb 0.816 0.644 0.644
Tb 0.375 0.912 0.662
Tb 0.375 0.662 0.912
Pd 0.492 0.701 0.309
Pd 0.492 0.309 0.701
Rh 0.134 0.006 0.006

=====

Relative stability in eV/atom, measured from the most stable structure: run i 0.000; run ii 0.093

=====

Run i
Tb3Pd2Rh: optimized geometry, PBE.

Summary:
- Symmetry: Cmmm (65)

a b c (Å): 4.954 7.833 6.960
angles (deg): 90.00 90.00 71.56
Atoms (fractional coordinates):
Tb 0.831 0.338 0.756
Tb 0.500 0.000 0.246
Tb 0.169 0.662 0.244
Tb 0.831 0.338 0.244
Tb 0.169 0.662 0.756
Tb 0.500 0.000 0.754
Pd 0.000 0.000 0.000
Pd 0.000 0.000 0.500
Pd 0.334 0.332 0.500
Pd 0.666 0.668 0.500
Rh 0.334 0.332 0.000
Rh 0.666 0.668 0.000

=====

Run ii
Tb3Pd2Rh: optimized geometry, PBE.

Summary:
- Symmetry: C2/m (12)

a b c (Å): 7.219 6.606 7.177
angles (deg): 82.64 76.44 56.88
Atoms (fractional coordinates):
Tb 0.445 0.651 0.735
Tb 0.291 0.000 0.196
Tb 0.555 0.349 0.265
Tb 0.903 0.651 0.265
Tb 0.097 0.349 0.735
Tb 0.709 0.000 0.804
Pd 0.000 0.000 0.000
Pd 0.500 0.000 0.500
Pd 0.128 0.744 0.500
Pd 0.872 0.256 0.500
Rh 0.701 0.598 0.000
Rh 0.299 0.402 0.000

=====

Relative stability in eV/atom, measured from the most stable structure: run i 0.000; run ii 0.148

=====

Run i
TcPdRh: optimized geometry, PBE.

Summary:
- Symmetry: I4mm (107)

a b c (Å): 2.728 2.728 6.197
angles (deg): 102.71 102.71 90.00
Atoms (fractional coordinates):
Rh 0.325 0.325 0.651
Tc 0.672 0.672 0.343
Pd 0.003 0.003 0.006

=====

Run ii
TcPdRh: optimized geometry, PBE.

Summary:
- Symmetry: C2/m (12)

a b c (Å): 4.312 5.410 8.883
angles (deg): 98.01 104.05 90.00
Atoms (fractional coordinates):
Pd 0.087 0.306 0.174
Pd 0.495 0.248 0.991
Pd 0.505 0.752 0.009
Pd 0.913 0.694 0.826
Tc 0.224 0.620 0.448
Tc 0.777 0.892 0.554
Tc 0.776 0.380 0.552
Tc 0.223 0.108 0.446
Rh 0.360 0.414 0.720
Rh 0.637 0.058 0.274
Rh 0.640 0.586 0.280
Rh 0.363 0.942 0.726

=====

Run iii
TcPdRh: optimized geometry, PBE.

Summary:
- Symmetry: P3m1 (156)

a b c (Å): 2.741 2.741 6.759
angles (deg): 90.00 90.00 120.00
Atoms (fractional coordinates):
Rh 0.333 0.667 0.654
Tc 0.667 0.333 0.342
Pd 0.000 0.000 0.003

=====

Relative stability in eV/atom, measured from the most stable structure: run i 0.000; run ii 0.302; run iii 0.045

=====

Run i
TcPdRh3: optimized geometry, PBE.

Summary:
- Symmetry: Pm-3m (221)

a b c (Å): 4.618 4.618 4.618
angles (deg): 90.00 90.00 90.00
Atoms (fractional coordinates):
Rh 0.000 0.500 0.000
Rh 0.000 0.000 0.500
Rh 0.500 0.000 0.000
Tc 0.000 0.000 0.000
Pd 0.500 0.500 0.500

=====

Run ii
TcPdRh3: optimized geometry, PBE.

Summary:
- Symmetry: C2/m (12)

a b c (Å): 3.853 5.478 7.250
angles (deg): 100.99 105.41 90.00
Atoms (fractional coordinates):
Tc 0.794 0.636 0.588
Tc 0.206 0.364 0.412
Pd 0.600 0.050 0.200
Pd 0.400 0.950 0.800
Rh 0.997 0.744 0.993
Rh 0.003 0.256 0.007
Rh 0.398 0.454 0.797
Rh 0.602 0.546 0.203
Rh 0.202 0.846 0.403
Rh 0.798 0.154 0.597

=====

Relative stability in eV/atom, measured from the most stable structure: run i 1.260; run ii 0.000

=====

Run i
Tc2PdRh: optimized geometry, PBE.

Summary:
- Symmetry: Fm-3m (225)

a b c (Å): 4.388 4.388 4.388
angles (deg): 60.00 60.00 60.00
Site moments in Bohr magnetons follow the coordinates.
Atoms (fractional coordinates):
Rh 0.000 0.000 0.000  0.44
Tc 0.250 0.250 0.250  0.30
Tc 0.750 0.750 0.750  0.30
Pd 0.500 0.500 0.500  0.06

=====

Run ii
Tc2PdRh: optimized geometry, PBE.

Summary:
- Symmetry: I-42d (122)

a b c (Å): 7.039 7.039 5.622
angles (deg): 51.24 51.24 90.00
Atoms (fractional coordinates):
Rh 0.500 0.500 0.000
Rh 0.250 0.750 0.500
Tc 0.598 0.125 0.250
Tc 0.152 0.625 0.250
Tc 0.375 0.402 0.750
Tc 0.875 0.848 0.750
Pd 0.000 0.000 0.000
Pd 0.750 0.250 0.500

=====

Run iii
Tc2PdRh: optimized geometry, PBE.

Summary:
- Symmetry: R-3m (166)

a b c (Å): 2.726 2.726 9.191
angles (deg): 81.47 81.47 60.00
Atoms (fractional coordinates):
Rh 0.000 0.000 0.000
Tc 0.748 0.748 0.755
Tc 0.252 0.252 0.245
Pd 0.500 0.500 0.500

=====

Relative stability in eV/atom, measured from the most stable structure: run i 0.421; run ii 0.620; run iii 0.000